The following is a DFT calculation (PBE) of an optimized crystal structure of TlGaHg2Pd.

a b c (Å): 5.340 5.340 4.791
angles (deg): 90.00 90.00 90.00
Element x y z (fractional)
Tl 0.500 0.500 0.500
Ga 0.000 0.000 0.500
Hg 0.000 0.500 0.000
Hg 0.500 0.000 0.000
Pd 0.000 0.000 0.000

Calculated values
As for the space group: No. 123. For the volume, the calculation gives 27.325 Å³/atom. As for the magnetization: 0.00 μB per formula unit. The value obtained for the total energy is -2.295 eV per atom. Its density of states at the Fermi level is 1.8 states/eV per cell. For the energy relative to the elements, the calculation gives -57 meV/atom. For the mass density, the calculation gives 9.50 g/cm³.

=====

The following is a DFT calculation (PBE) of an optimized crystal structure of TcSbHSeF.

a b c (Å): 3.293 5.114 6.053
angles (deg): 72.48 77.68 73.71
Element x y z (fractional)
Tc 0.550 0.960 0.989
Sb 0.267 0.525 0.914
H 0.404 0.098 0.214
Se 0.043 0.706 0.288
F 0.627 0.108 0.639

Calculated values
As for the space group: No. 1. For the volume, the calculation gives 18.472 Å³/atom. For the polymorph energy (0 for the lowest one), the calculation gives 0.26 eV/f.u. As for the magnetization: 0.00 μB per formula unit. The value obtained for the total energy is -5.109 eV per atom. Its density of states at the Fermi level is 0.5 states/eV per cell. For the mass density, the calculation gives 5.73 g/cm³.

=====

The following is a DFT calculation (PBE) of an optimized crystal structure of AcYPd2.

a b c (Å): 4.217 4.217 7.552
angles (deg): 73.79 73.79 60.00
Element x y z (fractional)
Ac 0.670 0.670 0.989
Y 0.497 0.497 0.509
Pd 0.092 0.092 0.723
Pd 0.240 0.240 0.279

Calculated values
As for the space group: No. 160. For the volume, the calculation gives 27.522 Å³/atom. For the polymorph energy (0 for the lowest one), the calculation gives 0.43 eV/f.u. As for the magnetization: 0.00 μB per formula unit. The value obtained for the total energy is -5.957 eV per atom. Its density of states at the Fermi level is 2.2 states/eV per cell. For the energy relative to the elements, the calculation gives -717 meV/atom. For the mass density, the calculation gives 7.98 g/cm³.